# 1
# CoNiPd2

A relaxed structure of CoNiPd2 (PBE, Alexandria).

Calculated values
* density of states at the Fermi level: 6.5 states/eV/cell
* uncorrected energy: -5.757 eV per atom
* total magnetic moment: 3.5 μB/f.u.
* ΔE to the lowest computed polymorph: 0.0168 eV per atom

abc: 3.8380 3.8380 3.6355
angles: 90.00 90.00 90.00
Space group P4/mmm (No. 123)
Inequivalent atoms, fractional coordinates:
1 Co 0.0000 0.0000 0.0000
2 Ni 0.5000 0.5000 0.0000
3 Pd 0.0000 0.5000 0.5000

# 2
# CoNiPd2

A relaxed structure of CoNiPd2 (PBE, Alexandria).

Calculated values
* density of states at the Fermi level: 4.4 states/eV/cell
* uncorrected energy: -5.773 eV per atom
* total magnetic moment: 3.2 μB/f.u.
* ΔE to the lowest computed polymorph: 0.0000 eV per atom

abc: 2.6922 2.6922 7.3567
angles: 90.00 90.00 90.00
Space group P4/mmm (No. 123)
Inequivalent atoms, fractional coordinates:
1 Co 0.0000 0.0000 0.0000
2 Ni 0.0000 0.0000 0.5000
3 Pd 0.5000 0.5000 0.2483

# 3
# CoNi2Pd2

A relaxed structure of CoNi2Pd2 (PBE, Alexandria).

Calculated values
* density of states at the Fermi level: 15.1 states/eV/cell
* uncorrected energy: -5.586 eV per atom
* total magnetic moment: 3.8 μB/f.u.
* ΔE to the lowest computed polymorph: 0.0000 eV per atom

abc: 5.9476 5.9476 3.8220
angles: 90.00 90.00 90.00
Space group P4/mbm (No. 127)
Inequivalent atoms, fractional coordinates:
1 Co 0.0000 0.0000 0.0000
2 Ni 0.1351 0.3649 0.0000
3 Pd 0.1693 0.6693 0.5000